Ac4Ce3NdN8: optimized geometry, GGA-PBE.

CIF file:
```
data_Ac4Ce3NdN8
_symmetry_space_group_name_H-M 'R -3 m'
_symmetry_Int_Tables_number 166
_symmetry_space_group_name_Hall '-R 3 2"'
_cell_length_a 7.4306
_cell_length_b 7.4306
_cell_length_c 18.4702
_cell_angle_alpha 90.00
_cell_angle_beta 90.00
_cell_angle_gamma 120.00
loop_
_atom_site_label
_atom_site_type_symbol
_atom_site_fract_x
_atom_site_fract_y
_atom_site_fract_z
_atom_site_occupancy
Ac1 Ac 0.0000 0.0000 0.0000 1
Ac2 Ac 0.0000 0.5000 0.0000 1
Ce1 Ce 0.0000 0.5000 0.5000 1
Nd1 Nd 0.0000 0.0000 0.5000 1
N1 N 0.0000 0.0000 0.2384 1
N2 N 0.0094 0.5047 0.7601 1
```

For the magnetization, the calculation gives 0.00 μB/f.u. The volume is 883.2 Å³/cell. The calculation puts the uncorrected formation energy at -1.250 eV per atom. Its energy is -7.85 eV/atom.